Pr3ThAl8 | PBE | relaxed

Cell lengths 5.6833, 5.6833, 9.4422 Å; angles 90.00, 90.00, 120.00 degrees
Last column: nearest neighbours and their distance in Å.
Fractional positions:
Pr 0.6667 0.3333 0.4316  12 Al 3.31-3.39, 1 Pr 3.44, 3 Th 3.53
Pr 0.6667 0.3333 0.0670  12 Al 3.33-3.41, 4 Pr 3.44-3.52
Pr 0.0000 0.0000 0.9313  12 Al 3.33-3.42, 1 Th 3.43, 3 Pr 3.52
Th 0.0000 0.0000 0.5683  12 Al 3.31-3.39, 4 Pr 3.43-3.53
Al 0.3333 0.6667 0.4995  6 Al 2.88-2.89
Al 0.3333 0.6667 0.0025  6 Al 2.89-2.93
Al 0.5036 0.0071 0.7483  6 Al 2.78-2.93
Al 0.5036 0.4964 0.7483  6 Al 2.78-2.93
Al 0.9929 0.4964 0.7483  6 Al 2.78-2.93
Al 0.1628 0.3256 0.2516  6 Al 2.78-2.91
Al 0.1628 0.8372 0.2516  6 Al 2.78-2.91
Al 0.6744 0.8372 0.2516  6 Al 2.78-2.91

* space group: P3m1
* formation enthalpy at 0 K: -456 meV/atom
* ρ: 5.5 Mg/m³

PrThAl2 | PBE | relaxed

Cell lengths 5.2927, 5.2927, 5.2927 Å; angles 60.00, 60.00, 60.00 degrees
Last column: nearest neighbours and their distance in Å.
Fractional positions:
Pr 0.5000 0.5000 0.5000  8 Al 3.24
Al 0.2500 0.2500 0.2500  4 Th 3.24, 4 Pr 3.24
Al 0.7500 0.7500 0.7500  4 Th 3.24, 4 Pr 3.24
Th 0.0000 0.0000 0.0000  8 Al 3.24

* space group: Fm-3m
* formation enthalpy at 0 K: -231 meV/atom
* ρ: 6.8 Mg/m³

PrThAl3 | PBE | relaxed

Cell lengths 4.3460, 4.3138, 13.7262 Å; angles 99.04, 90.00, 90.00 degrees
Last column: nearest neighbours and their distance in Å.
Fractional positions:
Pr 0.2500 0.0728 0.1455  12 Al 3.31-3.46
Pr 0.7500 0.9272 0.8545  12 Al 3.31-3.46
Th 0.2500 0.7928 0.5857  7 Al 3.20-3.26
Th 0.7500 0.2072 0.4143  7 Al 3.20-3.26
Al 0.2500 0.3812 0.7624  3 Al 2.57-2.62
Al 0.7500 0.6188 0.2376  3 Al 2.57-2.62
Al 0.2500 0.4759 0.9519  3 Al 2.53-2.57
Al 0.7500 0.5241 0.0481  3 Al 2.53-2.57
Al 0.7500 0.3274 0.6548  2 Al 2.62
Al 0.2500 0.6726 0.3452  2 Al 2.62

* space group: Cmcm
* formation enthalpy at 0 K: -390 meV/atom
* ρ: 5.9 Mg/m³